# 1
MgSn2TeP PBEsol optimized geometry; total energy = -0.2242 Ry per atom; E_form (uncorrected) = 0.861 eV/atom; total magnetization = 0.0 μB/f.u.
1.0
5.760 0.000 0.000
0.000 5.760 0.000
0.000 0.000 5.122
Mg Sn Te P
1 2 1 1
Direct
0.000 0.000 0.000
0.000 0.500 0.500
0.500 0.000 0.500
0.000 0.000 0.500
0.500 0.500 0.000

=====

# 2
YSiCl2 PBEsol optimized geometry; total energy = -0.3643 Ry per atom; E_form (uncorrected) = -0.810 eV/atom; total magnetization = 0.0 μB/f.u.; energy above the most stable polymorph in this dataset = 27 meV/atom
1.0
3.370 0.000 0.000
-1.685 2.918 0.000
0.000 0.000 29.232
Y Si Cl
3 3 6
Direct
0.000 0.000 0.000
0.333 0.667 0.667
0.667 0.333 0.333
0.000 0.000 0.500
0.333 0.667 0.167
0.667 0.333 0.833
0.000 0.000 0.271
0.000 0.000 0.729
0.333 0.667 0.396
0.333 0.667 0.938
0.667 0.333 0.062
0.667 0.333 0.604

=====

# 3
ZnFe2Os PBEsol optimized geometry; total energy = -0.5771 Ry per atom; total magnetization = 2.8 μB/f.u.; energy of formation from the pure elements = 0.32 eV per formula unit
1.0
2.610 0.000 0.000
0.000 2.610 0.000
0.000 0.000 7.081
Zn Fe Os
1 2 1
Direct
0.000 0.000 0.000
0.500 0.500 0.252
0.500 0.500 0.748
0.000 0.000 0.500

=====

# 4
Ga2NiO4 PBEsol optimized geometry; total energy = -0.4681 Ry per atom; E_form (uncorrected) = -1.535 eV/atom; total magnetization = 2.0 μB/f.u.; energy above the most stable polymorph in this dataset = 11 meV/atom
1.0
5.038 -2.951 0.000
5.038 2.951 0.000
-3.193 0.000 18.967
Ga Ni O
16 8 32
Direct
0.000 0.000 0.000
0.026 0.526 0.091
0.028 0.522 0.589
0.052 0.052 0.182
0.274 0.777 0.842
0.276 0.776 0.340
0.301 0.301 0.932
0.500 0.500 0.496
0.522 0.028 0.589
0.526 0.026 0.091
0.552 0.552 0.685
0.750 0.750 0.248
0.776 0.276 0.340
0.777 0.274 0.842
0.802 0.802 0.432
0.901 0.901 0.717
0.028 0.028 0.590
0.151 0.151 0.465
0.249 0.249 0.747
0.276 0.276 0.340
0.401 0.401 0.215
0.526 0.526 0.091
0.651 0.651 0.966
0.776 0.776 0.841
0.076 0.076 0.781
0.081 0.618 0.780
0.086 0.086 0.282
0.106 0.589 0.281
0.191 0.718 0.652
0.213 0.695 0.150
0.216 0.216 0.644
0.219 0.219 0.150
0.336 0.336 0.032
0.336 0.336 0.530
0.339 0.855 0.530
0.357 0.838 0.032
0.445 0.963 0.400
0.463 0.945 0.900
0.465 0.465 0.397
0.468 0.468 0.900
0.584 0.584 0.281
0.586 0.586 0.783
0.589 0.106 0.281
0.618 0.081 0.780
0.695 0.213 0.150
0.715 0.715 0.149
0.718 0.191 0.652
0.721 0.721 0.652
0.833 0.833 0.032
0.836 0.836 0.532
0.838 0.357 0.032
0.855 0.339 0.530
0.945 0.463 0.900
0.963 0.445 0.400
0.965 0.965 0.901
0.969 0.969 0.400